Compound: ReAuCl2
Source: Alexandria via LeMat-Bulk
Functional: PBE
Structure: relaxed

Lattice parameters (Å, degrees): 2.8819 4.9368 13.4152 90.00 90.00 90.00
Positions (direct):
Re 0.0000 0.0000 0.0000
Re 0.5000 0.5000 0.5000
Au 0.0000 0.0000 0.5000
Au 0.5000 0.5000 0.0000
Cl 0.0000 0.5000 0.3542
Cl 0.0000 0.5000 0.6458
Cl 0.5000 0.0000 0.1458
Cl 0.5000 0.0000 0.8542

Properties
Calculated volume in Å³ per atom: 23.9
Offset from the most stable computed form in meV per atom: 0
Size of the total moment in μB per cell: 2.07
N(E_F) in states/eV per cell: 3.43
Final energy in eV per atom: -4.74
Raw formation energy in kJ/mol of formula units: 45.9
ρ in Mg/m³: 7.9